Entry from Alexandria via LeMat-Bulk: an optimized crystal structure of YSeCl3 (GGA-PBE).

Computed properties:
Its space-group type is Pm-3m. Its density of states at the Fermi level is 5.3 states/eV per cell. For the total moment, the calculation gives 1.2 μB per formula unit. For the total energy, the calculation gives -0.11829 hartree per atom. The calculation puts the excess energy over the best structure of this formula in the dataset at 1127 meV per atom. Its theoretical density is 3.21 g cm⁻³. As for the formation energy from raw total energies: -121 meV per atom.

Cell: 5.217 5.217 5.217 Å, 90.00 90.00 90.00°
Fractional positions:
Cl  0.500  0.000  0.000
Cl  0.000  0.500  0.000
Cl  0.000  0.000  0.500
Y  0.500  0.500  0.500
Se  0.000  0.000  0.000